# Bi2PPb (PBE, optimized geometry)
data_Bi2PPb
_symmetry_space_group_name_H-M 'P 1'
_symmetry_Int_Tables_number 1
_cell_length_a 6.456
_cell_length_b 6.456
_cell_length_c 8.753
_cell_angle_alpha 68.36
_cell_angle_beta 68.36
_cell_angle_gamma 90.00
loop_
_symmetry_equiv_pos_as_xyz
'x,y,z'
loop_
_atom_site_label
_atom_site_type_symbol
_atom_site_fract_x
_atom_site_fract_y
_atom_site_fract_z
Bi1 Bi 0.180 0.625 0.250
Pb1 Pb 0.750 0.250 0.500
P1 P 0.500 0.500 0.000
Bi2 Bi 0.570 0.125 0.250
Pb2 Pb 0.000 0.000 0.000
Bi3 Bi 0.875 0.820 0.750
P2 P 0.250 0.750 0.500
Bi4 Bi 0.375 0.430 0.750
# **Mass density**: 7.0 Mg/m³
# **Distance to the lowest polymorph of the same formula**: 0.178 eV per atom

# BiP2Pb2 (PBE, optimized geometry)
data_BiP2Pb2
_symmetry_space_group_name_H-M 'P 1'
_symmetry_Int_Tables_number 1
_cell_length_a 3.472
_cell_length_b 3.472
_cell_length_c 10.942
_cell_angle_alpha 80.87
_cell_angle_beta 80.87
_cell_angle_gamma 90.00
loop_
_symmetry_equiv_pos_as_xyz
'x,y,z'
loop_
_atom_site_label
_atom_site_type_symbol
_atom_site_fract_x
_atom_site_fract_y
_atom_site_fract_z
P1 P 0.750 0.250 0.500
P2 P 0.250 0.750 0.500
Pb1 Pb 0.623 0.623 0.754
Bi1 Bi 0.000 0.000 0.000
Pb2 Pb 0.377 0.377 0.246
# **Mass density**: 8.9 Mg/m³
# **Distance to the lowest polymorph of the same formula**: 0.000 eV per atom

# Bi2PPb (PBE, optimized geometry)
data_Bi2PPb
_symmetry_space_group_name_H-M 'P 1'
_symmetry_Int_Tables_number 1
_cell_length_a 3.832
_cell_length_b 3.832
_cell_length_c 9.468
_cell_angle_alpha 78.33
_cell_angle_beta 78.33
_cell_angle_gamma 60.00
loop_
_symmetry_equiv_pos_as_xyz
'x,y,z'
loop_
_atom_site_label
_atom_site_type_symbol
_atom_site_fract_x
_atom_site_fract_y
_atom_site_fract_z
Bi1 Bi 0.064 0.064 0.809
P1 P 0.669 0.669 0.992
Bi2 Bi 0.263 0.263 0.210
Pb1 Pb 0.504 0.504 0.488
# **Mass density**: 9.3 Mg/m³
# **Distance to the lowest polymorph of the same formula**: 0.000 eV per atom

# BiPPb3 (PBE, optimized geometry)
data_BiPPb3
_symmetry_space_group_name_H-M 'P 1'
_symmetry_Int_Tables_number 1
_cell_length_a 5.491
_cell_length_b 5.491
_cell_length_c 5.491
_cell_angle_alpha 90.00
_cell_angle_beta 90.00
_cell_angle_gamma 90.00
loop_
_symmetry_equiv_pos_as_xyz
'x,y,z'
loop_
_atom_site_label
_atom_site_type_symbol
_atom_site_fract_x
_atom_site_fract_y
_atom_site_fract_z
P1 P 0.000 0.000 0.000
Pb1 Pb 0.500 0.000 0.000
Pb2 Pb 0.000 0.000 0.500
Pb3 Pb 0.000 0.500 0.000
Bi1 Bi 0.500 0.500 0.500
# **Mass density**: 8.6 Mg/m³
# **Distance to the lowest polymorph of the same formula**: 0.000 eV per atom

# BiP2Pd7Pb2 (PBE, optimized geometry)
data_BiP2Pd7Pb2
_symmetry_space_group_name_H-M 'P 1'
_symmetry_Int_Tables_number 1
_cell_length_a 4.118
_cell_length_b 4.118
_cell_length_c 13.728
_cell_angle_alpha 84.79
_cell_angle_beta 84.79
_cell_angle_gamma 90.02
loop_
_symmetry_equiv_pos_as_xyz
'x,y,z'
loop_
_atom_site_label
_atom_site_type_symbol
_atom_site_fract_x
_atom_site_fract_y
_atom_site_fract_z
P1 P 0.422 0.422 0.245
Pb1 Pb 0.894 0.894 0.383
Bi1 Bi 0.000 0.000 0.000
Pd1 Pd 0.053 0.550 0.840
Pd2 Pd 0.550 0.053 0.840
Pd3 Pd 0.606 0.606 0.584
P2 P 0.578 0.578 0.755
Pb2 Pb 0.106 0.106 0.617
Pd4 Pd 0.394 0.394 0.416
Pd5 Pd 0.450 0.947 0.160
Pd6 Pd 0.500 0.500 0.000
Pd7 Pd 0.947 0.450 0.160
# **Mass density**: 10.3 Mg/m³
# **Calculated total energy**: -5.17 eV/atom

# Bi2P2Pt7Pb (PBE, optimized geometry)
data_Bi2P2Pt7Pb
_symmetry_space_group_name_H-M 'P 1'
_symmetry_Int_Tables_number 1
_cell_length_a 3.991
_cell_length_b 3.991
_cell_length_c 15.371
_cell_angle_alpha 82.54
_cell_angle_beta 82.54
_cell_angle_gamma 90.01
loop_
_symmetry_equiv_pos_as_xyz
'x,y,z'
loop_
_atom_site_label
_atom_site_type_symbol
_atom_site_fract_x
_atom_site_fract_y
_atom_site_fract_z
Pt1 Pt 0.424 0.924 0.153
P1 P 0.382 0.382 0.237
Pt2 Pt 0.694 0.694 0.611
Pt3 Pt 0.924 0.424 0.153
Pt4 Pt 0.576 0.076 0.847
Pt5 Pt 0.306 0.306 0.389
Pb1 Pb 0.000 0.000 0.000
Pt6 Pt 0.500 0.500 0.000
Bi1 Bi 0.789 0.789 0.422
Bi2 Bi 0.211 0.211 0.578
P2 P 0.618 0.618 0.763
Pt7 Pt 0.076 0.576 0.847
# **Mass density**: 14.2 Mg/m³
# **Calculated total energy**: -5.74 eV/atom